{"formula": "Ca3Bi2", "functional": "PBE", "state": "relaxed", "lattice": [[5.8900, 0.0000, 0.0000], [0.0000, 5.8900, 0.0000], [0.0000, 0.0000, 5.8900]], "species": ["Ca", "Ca", "Ca", "Bi", "Bi"], "fractional_positions": [[0.0000, 0.5000, 0.5000], [0.5000, 0.0000, 0.5000], [0.5000, 0.5000, 0.0000], [0.0000, 0.0000, 0.0000], [0.5000, 0.5000, 0.5000]], "space_group": "Pm-3m", "de_polymorph_mev_per_atom": 362, "formation_enthalpy_0k_ev_per_atom": -0.4718}


{"formula": "MoPtSe", "functional": "PBE", "state": "relaxed", "lattice": [[-3.6742, 2.1084, -0.0200], [1.4406, -1.7790, -3.5644], [-1.5650, -2.7204, 0.7252]], "species": ["Mo", "Pt", "Se"], "fractional_positions": [[0.0000, 0.0000, 0.8336], [0.3333, 0.6667, 0.3335], [0.6667, 0.3333, 0.8329]], "space_group": "P-6m2", "e_form_raw_mev_per_atom": 129, "de_polymorph_mev_per_atom": 204}


{"formula": "BS2", "functional": "PBE", "state": "relaxed", "lattice": [[-3.8293, 0.5619, 3.2672], [2.8820, -11.0690, 5.2816], [14.5024, 3.5285, 16.3908]], "species": ["B", "B", "B", "B", "B", "B", "B", "B", "B", "B", "B", "B", "B", "B", "B", "B", "S", "S", "S", "S", "S", "S", "S", "S", "S", "S", "S", "S", "S", "S", "S", "S", "S", "S", "S", "S", "S", "S", "S", "S", "S", "S", "S", "S", "S", "S", "S", "S"], "fractional_positions": [[0.8408, 0.0848, 0.6291], [0.3408, 0.9152, 0.8709], [0.1592, 0.9152, 0.3709], [0.6592, 0.0848, 0.1291], [0.6866, 0.2693, 0.5297], [0.1866, 0.7307, 0.9703], [0.3134, 0.7307, 0.4703], [0.8134, 0.2693, 0.0297], [0.5936, 0.6951, 0.5958], [0.0936, 0.3049, 0.9042], [0.4064, 0.3049, 0.4042], [0.9064, 0.6951, 0.0958], [0.8031, 0.8340, 0.6575], [0.3031, 0.1660, 0.8425], [0.1969, 0.1660, 0.3425], [0.6969, 0.8340, 0.1575], [0.9511, 0.1969, 0.6571], [0.4511, 0.8031, 0.8429], [0.0489, 0.8031, 0.3429], [0.5489, 0.1969, 0.1571], [0.8342, 0.3354, 0.5825], [0.3342, 0.6646, 0.9175], [0.1658, 0.6646, 0.4175], [0.6658, 0.3354, 0.0825], [0.6779, 0.1179, 0.5526], [0.1779, 0.8821, 0.9474], [0.3221, 0.8821, 0.4474], [0.8221, 0.1179, 0.0526], [0.5642, 0.3713, 0.4568], [0.0642, 0.6287, 0.0432], [0.4358, 0.6287, 0.5432], [0.9358, 0.3713, 0.9568], [0.7229, 0.5938, 0.6669], [0.2229, 0.4062, 0.8331], [0.2771, 0.4062, 0.3331], [0.7771, 0.5938, 0.1669], [0.8807, 0.6982, 0.7132], [0.3807, 0.3018, 0.7868], [0.1193, 0.3018, 0.2868], [0.6193, 0.6982, 0.2132], [0.6312, 0.8431, 0.5845], [0.1312, 0.1569, 0.9155], [0.3688, 0.1569, 0.4155], [0.8688, 0.8431, 0.0845], [0.9159, 0.9474, 0.6854], [0.4159, 0.0526, 0.8146], [0.0841, 0.0526, 0.3146], [0.5841, 0.9474, 0.1854]], "space_group": "P2_1/c", "e_form_raw_mev_per_atom": -397, "de_polymorph_mev_per_atom": 0}


{"formula": "Rb3Tm3OsO8", "functional": "PBE", "state": "relaxed", "lattice": [[6.7145, 0.0001, -0.0001], [-3.3572, 5.8163, -0.0215], [-0.0001, -3.8541, 6.5742]], "species": ["Rb", "Rb", "Rb", "Tm", "Tm", "Tm", "Os", "O", "O", "O", "O", "O", "O", "O", "O"], "fractional_positions": [[0.0000, 0.0000, 0.0000], [0.0000, 0.5000, 0.0000], [0.5000, 0.5000, 0.0000], [0.5000, 0.0000, 0.5000], [0.5000, 0.5000, 0.5000], [0.0000, 0.5000, 0.5000], [0.0000, 0.0000, 0.5000], [0.2766, 0.5532, 0.3297], [0.7234, 0.4468, 0.6703], [0.7897, 0.5795, 0.3373], [0.2103, 0.4205, 0.6627], [0.7900, 0.0474, 0.3374], [0.2100, 0.9526, 0.6626], [0.2574, 0.0474, 0.3374], [0.7426, 0.9526, 0.6626]], "space_group": "R-3m", "e_form_raw_mev_per_atom": -2357}


{"formula": "NaGaPb", "functional": "PBE", "state": "relaxed", "lattice": [[5.2352, 0.0289, 0.0173], [-0.0426, 6.3817, 0.0696], [-2.6301, -0.0734, 4.5199]], "species": ["Pb", "Pb", "Na", "Na", "Ga", "Ga"], "fractional_positions": [[0.2297, 0.9378, 0.9722], [0.5632, 0.4283, 0.6390], [0.8965, 0.1830, 0.3054], [0.8964, 0.6830, 0.3054], [0.2295, 0.4382, 0.9722], [0.5630, 0.9276, 0.6388]], "space_group": "C2/m", "formation_enthalpy_0k_ev_per_atom": -0.0667}


{"formula": "VInTcGe2", "functional": "PBE", "state": "relaxed", "lattice": [[-4.3044, 1.7160, 0.7843], [-1.7053, -2.3456, -4.2273], [-1.0562, -3.8104, 2.5403]], "species": ["Ge", "Ge", "V", "Tc", "In"], "fractional_positions": [[0.0000, 0.0000, 0.5000], [0.5000, 0.0000, 0.0000], [0.0000, 0.0000, 0.0000], [0.5000, 0.5000, 0.5000], [0.0000, 0.5000, 0.0000]], "space_group": "P4/mmm", "formation_enthalpy_0k_ev_per_atom": 1.0038}


{"formula": "LiDyAlHg", "functional": "PBE", "state": "relaxed", "lattice": [[4.9509, 0.0000, 0.0000], [2.4754, 4.2876, 0.0000], [2.4754, 1.4292, 4.0424]], "species": ["Al", "Li", "Hg", "Dy"], "fractional_positions": [[0.2500, 0.2500, 0.2500], [0.0000, 0.0000, 0.0000], [0.7500, 0.7500, 0.7500], [0.5000, 0.5000, 0.5000]], "space_group": "F-43m", "formation_enthalpy_0k_ev_per_atom": -0.3251}


{"formula": "Zr2AgSnH", "functional": "PBE", "state": "relaxed", "lattice": [[4.3773, 0.0000, 0.0000], [0.0000, 4.3773, 0.0000], [0.0000, 0.0000, 4.4704]], "species": ["Zr", "Zr", "Sn", "Ag", "H"], "fractional_positions": [[0.0000, 0.5000, 0.0000], [0.5000, 0.0000, 0.0000], [0.5000, 0.5000, 0.5000], [0.0000, 0.0000, 0.5000], [0.0000, 0.0000, 0.0000]], "space_group": "P4/mmm"}


{"formula": "YEr3Hg", "functional": "PBE", "state": "relaxed", "lattice": [[6.5369, -0.3645, -1.0619], [-2.1391, 6.1877, 1.0619], [-3.2469, -2.1201, 7.7479]], "species": ["Y", "Y", "Er", "Er", "Er", "Er", "Er", "Er", "Hg", "Hg"], "fractional_positions": [[0.6802, 0.0597, 0.7399], [0.3198, 0.9403, 0.2601], [0.7293, 0.9092, 0.1399], [0.2307, 0.4106, 0.1399], [0.7693, 0.5894, 0.8601], [0.8196, 0.4390, 0.2585], [0.2707, 0.0908, 0.8601], [0.1804, 0.5610, 0.7415], [0.7530, 0.7471, 0.5000], [0.2470, 0.2529, 0.5000]], "space_group": "C2/m", "formation_enthalpy_0k_ev_per_atom": -0.1218}


{"formula": "DySc9In2", "functional": "PBE", "state": "relaxed", "lattice": [[-2.0699, 2.3753, 3.2871], [1.7349, -2.8171, 3.1281], [11.2442, 8.2040, 1.1521]], "species": ["Dy", "Sc", "Sc", "Sc", "Sc", "Sc", "Sc", "Sc", "Sc", "Sc", "In", "In"], "fractional_positions": [[0.0000, 0.0000, 0.0000], [0.5000, 0.5000, 0.0000], [0.5000, 0.5000, 0.3399], [0.5000, 0.5000, 0.6601], [0.5000, 0.0000, 0.1751], [0.5000, 0.0000, 0.5000], [0.5000, 0.0000, 0.8249], [0.0000, 0.5000, 0.1751], [0.0000, 0.5000, 0.5000], [0.0000, 0.5000, 0.8249], [0.0000, 0.0000, 0.3386], [0.0000, 0.0000, 0.6614]], "space_group": "P4/mmm", "formation_enthalpy_0k_ev_per_atom": -0.1573}


Per-record E, eV/cell: -16.1; -20.0; -258.0; -102.6; -16.5; -26.4; -11.9; -29.0; -42.1; -68.9